# K12Na3Au5, optimized geometry, DFT PBE
# * total magnetic moment: 0.001 μB per formula unit
# * E: -137.748 eV for the cell shown
# * ΔH_f (0 K): -0.05 eV/atom
data_K12Na3Au5
_chemical_formula_sum 'K48 Na12 Au20'
_cell_length_a 18.099
_cell_length_b 18.099
_cell_length_c 18.099
_cell_angle_alpha 109.47
_cell_angle_beta 109.47
_cell_angle_gamma 109.47
_symmetry_space_group_name_H-M 'P 1'
_symmetry_Int_Tables_number 1
loop_
_symmetry_equiv_pos_as_xyz
'x,y,z'
loop_
_atom_site_label
_atom_site_fract_x
_atom_site_fract_y
_atom_site_fract_z
_atom_site_occupancy
K1 0.591 0.705 0.676 1
K2 0.614 0.029 0.205 1
K3 0.971 0.585 0.176 1
K4 0.324 0.529 0.415 1
K5 0.886 0.591 0.915 1
K6 0.824 0.909 0.295 1
K7 0.085 0.909 0.114 1
K8 0.114 0.409 0.085 1
K9 0.114 0.705 0.529 1
K10 0.471 0.676 0.085 1
K11 0.415 0.386 0.591 1
K12 0.909 0.085 0.614 1
K13 0.324 0.795 0.409 1
K14 0.676 0.205 0.591 1
K15 0.471 0.795 0.886 1
K16 0.205 0.676 0.091 1
K17 0.585 0.614 0.409 1
K18 0.971 0.386 0.295 1
K19 0.386 0.971 0.795 1
K20 0.386 0.415 0.091 1
K21 0.909 0.824 0.795 1
K22 0.915 0.091 0.886 1
K23 0.529 0.324 0.915 1
K24 0.529 0.205 0.114 1
K25 0.795 0.324 0.909 1
K26 0.029 0.415 0.824 1
K27 0.176 0.085 0.971 1
K28 0.886 0.295 0.471 1
K29 0.795 0.471 0.386 1
K30 0.676 0.471 0.585 1
K31 0.614 0.585 0.909 1
K32 0.295 0.409 0.824 1
K33 0.705 0.591 0.176 1
K34 0.091 0.176 0.205 1
K35 0.205 0.529 0.614 1
K36 0.091 0.915 0.386 1
K37 0.409 0.114 0.585 1
K38 0.415 0.029 0.324 1
K39 0.029 0.614 0.705 1
K40 0.915 0.824 0.529 1
K41 0.085 0.176 0.471 1
K42 0.585 0.971 0.676 1
K43 0.705 0.114 0.029 1
K44 0.824 0.915 0.029 1
K45 0.176 0.091 0.705 1
K46 0.591 0.886 0.415 1
K47 0.295 0.886 0.971 1
K48 0.409 0.295 0.324 1
Na1 0.875 0.125 0.250 1
Na2 0.875 0.750 0.125 1
Na3 0.750 0.875 0.625 1
Na4 0.250 0.625 0.875 1
Na5 0.250 0.125 0.375 1
Na6 0.375 0.750 0.625 1
Na7 0.125 0.875 0.750 1
Na8 0.125 0.250 0.875 1
Na9 0.375 0.625 0.250 1
Na10 0.625 0.250 0.375 1
Na11 0.750 0.375 0.125 1
Na12 0.625 0.375 0.750 1
Au1 0.625 0.875 0.250 1
Au2 0.250 0.875 0.125 1
Au3 0.125 0.750 0.375 1
Au4 0.375 0.250 0.125 1
Au5 0.625 0.750 0.875 1
Au6 0.000 0.500 0.500 1
Au7 0.875 0.250 0.625 1
Au8 0.750 0.125 0.875 1
Au9 0.125 0.375 0.250 1
Au10 0.000 0.000 0.500 1
Au11 0.500 0.000 0.500 1
Au12 0.750 0.625 0.375 1
Au13 0.875 0.625 0.750 1
Au14 0.500 0.000 0.000 1
Au15 0.500 0.500 0.500 1
Au16 0.000 0.000 0.000 1
Au17 0.500 0.500 0.000 1
Au18 0.375 0.125 0.750 1
Au19 0.250 0.375 0.625 1
Au20 0.000 0.500 0.000 1



# KNa4Au4, optimized geometry, DFT PBE
# * total magnetic moment: 0.000 μB per formula unit
# * E: -43.046 eV for the cell shown
# * ΔH_f (0 K): -0.23 eV/atom
data_KNa4Au4
_chemical_formula_sum 'K2 Na8 Au8'
_cell_length_a 5.872
_cell_length_b 9.776
_cell_length_c 9.776
_cell_angle_alpha 90.00
_cell_angle_beta 90.00
_cell_angle_gamma 90.00
_symmetry_space_group_name_H-M 'P 1'
_symmetry_Int_Tables_number 1
loop_
_symmetry_equiv_pos_as_xyz
'x,y,z'
loop_
_atom_site_label
_atom_site_fract_x
_atom_site_fract_y
_atom_site_fract_z
_atom_site_occupancy
Au1 0.404 0.345 0.195 1
Au2 0.904 0.305 0.845 1
Au3 0.096 0.845 0.695 1
Au4 0.596 0.195 0.655 1
Au5 0.096 0.155 0.305 1
Au6 0.404 0.655 0.805 1
Au7 0.596 0.805 0.345 1
Au8 0.904 0.695 0.155 1
Na1 0.600 0.890 0.644 1
Na2 0.600 0.110 0.356 1
Na3 0.100 0.856 0.390 1
Na4 0.400 0.644 0.110 1
Na5 0.100 0.144 0.610 1
Na6 0.900 0.610 0.856 1
Na7 0.900 0.390 0.144 1
Na8 0.400 0.356 0.890 1
K1 0.000 0.000 0.000 1
K2 0.500 0.500 0.500 1



# K2Na5Au3, optimized geometry, DFT PBE
# * total magnetic moment: 0.000 μB per formula unit
# * E: -41.634 eV for the cell shown
# * ΔH_f (0 K): -0.22 eV/atom
data_K2Na5Au3
_chemical_formula_sum 'K4 Na10 Au6'
_cell_length_a 4.941
_cell_length_b 8.192
_cell_length_c 15.252
_cell_angle_alpha 90.00
_cell_angle_beta 99.32
_cell_angle_gamma 90.00
_symmetry_space_group_name_H-M 'P 1'
_symmetry_Int_Tables_number 1
loop_
_symmetry_equiv_pos_as_xyz
'x,y,z'
loop_
_atom_site_label
_atom_site_fract_x
_atom_site_fract_y
_atom_site_fract_z
_atom_site_occupancy
Au1 0.958 0.488 0.917 1
Au2 0.767 0.704 0.534 1
Au3 0.042 0.988 0.083 1
Au4 0.233 0.204 0.466 1
Au5 0.388 0.023 0.775 1
Au6 0.612 0.523 0.225 1
Na1 0.290 0.510 0.579 1
Na2 0.293 0.903 0.586 1
Na3 0.404 0.400 0.809 1
Na4 0.596 0.900 0.191 1
Na5 0.871 0.743 0.743 1
Na6 0.129 0.243 0.257 1
Na7 0.710 0.010 0.421 1
Na8 0.707 0.403 0.414 1
Na9 0.057 0.611 0.113 1
Na10 0.943 0.111 0.887 1
K1 0.178 0.704 0.355 1
K2 0.476 0.778 0.953 1
K3 0.822 0.204 0.645 1
K4 0.524 0.278 0.047 1



# K12Na3Au, optimized geometry, DFT PBE
# * total magnetic moment: 0.000 μB per formula unit
# * E: -20.300 eV for the cell shown
# * ΔH_f (0 K): 0.01 eV/atom
data_K12Na3Au
_chemical_formula_sum 'K12 Na3 Au1'
_cell_length_a 6.102
_cell_length_b 6.102
_cell_length_c 24.475
_cell_angle_alpha 90.00
_cell_angle_beta 90.00
_cell_angle_gamma 90.00
_symmetry_space_group_name_H-M 'P 1'
_symmetry_Int_Tables_number 1
loop_
_symmetry_equiv_pos_as_xyz
'x,y,z'
loop_
_atom_site_label
_atom_site_fract_x
_atom_site_fract_y
_atom_site_fract_z
_atom_site_occupancy
K1 0.500 0.000 0.101 1
K2 0.000 0.500 0.368 1
K3 0.500 0.000 0.368 1
K4 0.500 0.000 0.899 1
K5 0.000 0.500 0.101 1
K6 0.500 0.000 0.632 1
K7 0.000 0.500 0.899 1
K8 0.500 0.500 0.234 1
K9 0.500 0.500 0.000 1
K10 0.500 0.500 0.500 1
K11 0.000 0.500 0.632 1
K12 0.500 0.500 0.766 1
Au1 0.000 0.000 0.000 1
Na1 0.000 0.000 0.500 1
Na2 0.000 0.000 0.237 1
Na3 0.000 0.000 0.763 1



# K3NaAu8, optimized geometry, DFT PBE
# * total magnetic moment: 0.000 μB per formula unit
# * E: -34.616 eV for the cell shown
# * ΔH_f (0 K): -0.32 eV/atom
data_K3NaAu8
_chemical_formula_sum 'K3 Na1 Au8'
_cell_length_a 5.748
_cell_length_b 5.748
_cell_length_c 10.089
_cell_angle_alpha 73.45
_cell_angle_beta 73.45
_cell_angle_gamma 60.00
_symmetry_space_group_name_H-M 'P 1'
_symmetry_Int_Tables_number 1
loop_
_symmetry_equiv_pos_as_xyz
'x,y,z'
loop_
_atom_site_label
_atom_site_fract_x
_atom_site_fract_y
_atom_site_fract_z
_atom_site_occupancy
Au1 0.436 0.436 0.192 1
Au2 0.687 0.687 0.938 1
Au3 0.935 0.436 0.192 1
Au4 0.938 0.441 0.683 1
Au5 0.938 0.938 0.683 1
Au6 0.441 0.938 0.683 1
Au7 0.188 0.188 0.437 1
Au8 0.436 0.935 0.192 1
K1 0.501 0.501 0.498 1
K2 0.375 0.375 0.876 1
K3 0.999 0.999 0.002 1
Na1 0.875 0.875 0.375 1



# K2Na8Au, optimized geometry, DFT PBE
# * total magnetic moment: 0.000 μB per formula unit
# * E: -16.436 eV for the cell shown
# * ΔH_f (0 K): -0.04 eV/atom
data_K2Na8Au
_chemical_formula_sum 'K2 Na8 Au1'
_cell_length_a 5.381
_cell_length_b 7.355
_cell_length_c 11.467
_cell_angle_alpha 80.31
_cell_angle_beta 103.57
_cell_angle_gamma 90.00
_symmetry_space_group_name_H-M 'P 1'
_symmetry_Int_Tables_number 1
loop_
_symmetry_equiv_pos_as_xyz
'x,y,z'
loop_
_atom_site_label
_atom_site_fract_x
_atom_site_fract_y
_atom_site_fract_z
_atom_site_occupancy
Na1 0.870 0.190 0.739 1
Na2 0.379 0.891 0.758 1
Na3 0.977 0.778 0.953 1
Na4 0.023 0.222 0.047 1
Na5 0.130 0.810 0.261 1
Na6 0.571 0.600 0.142 1
Na7 0.429 0.400 0.858 1
Na8 0.621 0.109 0.242 1
Au1 0.500 0.000 0.000 1
K1 0.775 0.714 0.551 1
K2 0.225 0.286 0.449 1



# K6NaAu, optimized geometry, DFT PBE
# * total magnetic moment: 0.000 μB per formula unit
# * E: -11.592 eV for the cell shown
# * ΔH_f (0 K): -0.05 eV/atom
# * E above lowest polymorph: 0.015 eV per atom
data_K6NaAu
_chemical_formula_sum 'K6 Na1 Au1'
_cell_length_a 8.013
_cell_length_b 8.013
_cell_length_c 7.979
_cell_angle_alpha 98.24
_cell_angle_beta 98.24
_cell_angle_gamma 101.02
_symmetry_space_group_name_H-M 'P 1'
_symmetry_Int_Tables_number 1
loop_
_symmetry_equiv_pos_as_xyz
'x,y,z'
loop_
_atom_site_label
_atom_site_fract_x
_atom_site_fract_y
_atom_site_fract_z
_atom_site_occupancy
K1 0.427 0.794 0.789 1
K2 0.206 0.573 0.211 1
K3 0.209 0.209 0.599 1
K4 0.573 0.206 0.211 1
K5 0.791 0.791 0.401 1
K6 0.794 0.427 0.789 1
Na1 0.000 0.000 0.000 1
Au1 0.500 0.500 0.500 1



# K2Na6Au, optimized geometry, DFT PBE
# * total magnetic moment: 0.000 μB per formula unit
# * E: -13.830 eV for the cell shown
# * ΔH_f (0 K): -0.05 eV/atom
data_K2Na6Au
_chemical_formula_sum 'K2 Na6 Au1'
_cell_length_a 8.025
_cell_length_b 8.025
_cell_length_c 8.025
_cell_angle_alpha 59.95
_cell_angle_beta 59.95
_cell_angle_gamma 59.97
_symmetry_space_group_name_H-M 'P 1'
_symmetry_Int_Tables_number 1
loop_
_symmetry_equiv_pos_as_xyz
'x,y,z'
loop_
_atom_site_label
_atom_site_fract_x
_atom_site_fract_y
_atom_site_fract_z
_atom_site_occupancy
Na1 0.760 0.240 0.240 1
Na2 0.240 0.240 0.759 1
Na3 0.760 0.760 0.241 1
Na4 0.240 0.760 0.240 1
Na5 0.760 0.240 0.760 1
Na6 0.240 0.760 0.760 1
K1 0.750 0.750 0.750 1
K2 0.250 0.250 0.250 1
Au1 0.500 0.500 0.500 1



The highest ΔH_f (0 K) belongs to which entry?
K12Na3Au



What is the total magnetic moment in the first record?
0.001 μB per formula unit